{"formula": "ZnIn2Ni", "functional": "PBE", "state": "optimized geometry", "cell": [[3.083, 0.000, 0.000], [0.000, 3.083, 0.000], [0.000, 0.000, 7.787]], "species": ["Zn", "In", "In", "Ni"], "fractional_positions": [[0.000, 0.000, 0.000], [0.500, 0.500, 0.283], [0.500, 0.500, 0.717], [0.000, 0.000, 0.500]], "formation_energy_ev_per_atom": 0.0790, "e_tot_ry_per_atom": -0.2245}